The following is a DFT calculation (GGA-PBE) of crystalline Sr3Ru at its relaxed geometry.

abc: 5.301 5.309 10.389
angles: 90.00 90.00 90.00
Fractional positions:
Sr: 0.000 0.000 0.000
Sr: 0.000 0.500 0.334
Sr: 0.000 0.500 0.666
Sr: 0.500 0.000 0.334
Sr: 0.500 0.000 0.666
Sr: 0.500 0.500 0.000
Ru: 0.000 0.000 0.500
Ru: 0.500 0.500 0.500

V = 292 Å³/cell
energy relative to the elements = 339 meV per atom
theoretical density = 4.13 g cm⁻³
crystal system = orthorhombic